(1)
Density functional theory data (PBE) for crystalline Ac2PmAs2Se2 at its relaxed geometry.

Cell: 8.810 8.810 8.810 Å, 144.25 144.25 51.45°
Positions (direct):
1 Ac 0.129 0.129 0.000
2 Ac 0.871 0.871 0.000
3 Pm 0.500 0.500 0.000
4 As 0.000 0.500 0.500
5 As 0.500 0.000 0.500
6 Se 0.316 0.316 0.000
7 Se 0.684 0.684 0.000

DOS(E_F)   2.46 states/eV/f.u.
Formation energy (no corrections)   -8.99 eV per formula unit
Magnetic moment   0.00 μB per cell
Space group   No. 139

---

(2)
Density functional theory data (PBE) for crystalline K5Ag3As3 at its relaxed geometry.

Cell: 10.300 10.300 4.790 Å, 90.00 90.00 120.00°
Positions (direct):
1 K 0.000 0.261 0.000
2 K 0.261 0.000 0.000
3 K 0.333 0.667 0.000
4 K 0.667 0.333 0.000
5 K 0.739 0.739 0.000
6 Ag 0.000 0.679 0.500
7 Ag 0.321 0.321 0.500
8 Ag 0.679 0.000 0.500
9 As 0.000 0.623 0.000
10 As 0.377 0.377 0.000
11 As 0.623 0.000 0.000

E   -30.4 eV/cell
DOS(E_F)   4.31 states/eV/f.u.
Magnetic moment   0.00 μB per cell
Space group   No. 189

---

(3)
Density functional theory data (PBE) for crystalline CeCdI6 at its relaxed geometry.

Cell: 7.814 7.814 7.338 Å, 90.52 90.52 120.19°
Positions (direct):
1 Ce 0.000 0.000 0.000
2 Cd 0.000 0.000 0.500
3 I 0.000 0.310 0.752
4 I 0.000 0.690 0.248
5 I 0.310 0.000 0.752
6 I 0.311 0.311 0.257
7 I 0.689 0.689 0.743
8 I 0.690 0.000 0.248

Formation energy (no corrections)   -7.29 eV per formula unit
Magnetic moment   0.00 μB per cell
Offset from the most stable computed form   0 meV/atom
Space group   No. 12

---

(4)
Density functional theory data (PBE) for crystalline LaScAlZn at its relaxed geometry.

Cell: 5.089 5.089 5.089 Å, 60.00 60.00 60.00°
Positions (direct):
1 La 0.000 0.000 0.000
2 Sc 0.500 0.500 0.500
3 Al 0.750 0.750 0.750
4 Zn 0.250 0.250 0.250

E   -17.6 eV/cell
DOS(E_F)   3.84 states/eV/f.u.
Magnetic moment   0.00 μB per cell
Space group   No. 216

---

(5)
Density functional theory data (PBE) for crystalline Er8Ni2Rh at its relaxed geometry.

Cell: 8.822 8.822 6.561 Å, 105.09 105.09 32.67°
Positions (direct):
1 Er 0.036 0.036 0.290
2 Er 0.202 0.202 0.827
3 Er 0.329 0.329 0.522
4 Er 0.408 0.408 0.051
5 Er 0.592 0.592 0.949
6 Er 0.671 0.671 0.478
7 Er 0.798 0.798 0.173
8 Er 0.964 0.964 0.710
9 Ni 0.188 0.188 0.221
10 Ni 0.812 0.812 0.779
11 Rh 0.500 0.500 0.500

DOS(E_F)   11.58 states/eV/f.u.
Magnetic moment   0.00 μB per cell
Offset from the most stable computed form   0 meV/atom
Space group   No. 12

---

(6)
Density functional theory data (PBE) for crystalline DyPd8Au3 at its relaxed geometry.

Cell: 5.278 5.278 8.652 Å, 90.00 90.00 120.00°
Positions (direct):
1 Dy 0.000 0.000 0.000
2 Pd 0.164 0.328 0.684
3 Pd 0.164 0.836 0.684
4 Pd 0.333 0.667 0.432
5 Pd 0.333 0.667 0.933
6 Pd 0.503 0.006 0.185
7 Pd 0.503 0.497 0.185
8 Pd 0.672 0.836 0.684
9 Pd 0.994 0.497 0.185
10 Au 0.000 0.000 0.385
11 Au 0.667 0.333 0.497
12 Au 0.667 0.333 0.869

E   -58.6 eV/cell
DOS(E_F)   10.96 states/eV/f.u.
Magnetic moment   0.00 μB per cell
Space group   No. 156

---

(7)
Density functional theory data (PBE) for crystalline Cu2WI8 at its relaxed geometry.

Cell: 8.371 8.371 6.542 Å, 91.80 91.80 63.25°
Positions (direct):
1 Cu 0.170 0.170 0.124
2 Cu 0.830 0.830 0.876
3 W 0.000 0.000 0.500
4 I 0.155 0.705 0.741
5 I 0.165 0.165 0.728
6 I 0.295 0.845 0.259
7 I 0.339 0.339 0.249
8 I 0.661 0.661 0.751
9 I 0.705 0.155 0.741
10 I 0.835 0.835 0.272
11 I 0.845 0.295 0.259

DOS(E_F)   6.89 states/eV/f.u.
Formation energy (no corrections)   -0.48 eV per formula unit
Magnetic moment   0.20 μB per cell
Space group   No. 12

---

(8)
Density functional theory data (PBE) for crystalline Y7HoTm12 at its relaxed geometry.

Cell: 8.642 8.642 8.642 Å, 87.03 87.03 87.03°
Positions (direct):
1 Y 0.000 0.000 0.000
2 Y 0.104 0.431 0.346
3 Y 0.346 0.104 0.431
4 Y 0.431 0.346 0.104
5 Y 0.569 0.654 0.896
6 Y 0.654 0.896 0.569
7 Y 0.896 0.569 0.654
8 Ho 0.500 0.500 0.500
9 Tm 0.003 0.882 0.365
10 Tm 0.118 0.635 0.997
11 Tm 0.231 0.353 0.761
12 Tm 0.239 0.769 0.647
13 Tm 0.353 0.761 0.231
14 Tm 0.365 0.003 0.882
15 Tm 0.635 0.997 0.118
16 Tm 0.647 0.239 0.769
17 Tm 0.761 0.231 0.353
18 Tm 0.769 0.647 0.239
19 Tm 0.882 0.365 0.003
20 Tm 0.997 0.118 0.635

DOS(E_F)   35.76 states/eV/f.u.
Magnetic moment   0.00 μB per cell
Offset from the most stable computed form   0 meV/atom
Space group   No. 148

---

(9)
Density functional theory data (PBE) for crystalline PrThIrPt at its relaxed geometry.

Cell: 5.090 5.090 5.090 Å, 60.00 60.00 60.00°
Positions (direct):
1 Pr 0.000 0.000 0.000
2 Th 0.500 0.500 0.500
3 Ir 0.750 0.750 0.750
4 Pt 0.250 0.250 0.250

DOS(E_F)   4.71 states/eV/f.u.
Magnetic moment   0.00 μB per cell
Offset from the most stable computed form   209 meV/atom
Space group   No. 216

---

(10)
Density functional theory data (PBE) for crystalline Na2TlCuF6 at its relaxed geometry.

Cell: 6.104 6.104 6.104 Å, 60.00 60.00 60.00°
Positions (direct):
1 Na 0.250 0.250 0.250
2 Na 0.750 0.750 0.750
3 Tl 0.000 0.000 0.000
4 Cu 0.500 0.500 0.500
5 F 0.265 0.265 0.735
6 F 0.265 0.735 0.265
7 F 0.265 0.735 0.735
8 F 0.735 0.265 0.265
9 F 0.735 0.265 0.735
10 F 0.735 0.735 0.265

DOS(E_F)   3.58 states/eV/f.u.
Formation energy (no corrections)   -19.69 eV per formula unit
Magnetic moment   0.28 μB per cell
Offset from the most stable computed form   106 meV/atom
Space group   No. 225

---

(11)
Density functional theory data (PBE) for crystalline V2TeI at its relaxed geometry.

Cell: 4.775 4.775 4.775 Å, 60.00 60.00 60.00°
Positions (direct):
1 V 0.250 0.250 0.250
2 V 0.750 0.750 0.750
3 Te 0.000 0.000 0.000
4 I 0.500 0.500 0.500

DOS(E_F)   3.16 states/eV/f.u.
Formation energy (no corrections)   1.64 eV per formula unit
Magnetic moment   3.09 μB per cell
Offset from the most stable computed form   87 meV/atom
Space group   No. 225

---

(12)
Density functional theory data (PBE) for crystalline Ba2CaPd at its relaxed geometry.

Cell: 7.817 7.217 12.951 Å, 90.00 90.00 90.00°
Positions (direct):
1 Ba 0.084 0.240 0.084
2 Ba 0.084 0.260 0.416
3 Ba 0.416 0.740 0.416
4 Ba 0.416 0.760 0.084
5 Ba 0.584 0.240 0.916
6 Ba 0.584 0.260 0.584
7 Ba 0.916 0.740 0.584
8 Ba 0.916 0.760 0.916
9 Ca 0.107 0.250 0.750
10 Ca 0.393 0.750 0.750
11 Ca 0.607 0.250 0.250
12 Ca 0.893 0.750 0.250
13 Pd 0.250 0.000 0.902
14 Pd 0.250 0.500 0.598
15 Pd 0.750 0.000 0.098
16 Pd 0.750 0.500 0.402

DOS(E_F)   2.01 states/eV/f.u.
Magnetic moment   0.00 μB per cell
Offset from the most stable computed form   0 meV/atom
Space group   No. 52

---

(13)
Density functional theory data (PBE) for crystalline CaAgTe2 at its relaxed geometry.

Cell: 5.163 5.163 4.079 Å, 90.00 90.00 98.35°
Positions (direct):
1 Ca 0.000 0.000 0.000
2 Ag 0.500 0.500 0.000
3 Te 0.000 0.500 0.500
4 Te 0.500 0.000 0.500

DOS(E_F)   1.13 states/eV/f.u.
Formation energy (no corrections)   -2.42 eV per formula unit
Magnetic moment   0.00 μB per cell
Space group   No. 65

---

(14)
Density functional theory data (PBE) for crystalline AcCe2As at its relaxed geometry.

Cell: 10.736 10.736 10.736 Å, 21.08 21.08 21.08°
Positions (direct):
1 Ac 0.000 0.000 0.000
2 Ce 0.110 0.110 0.110
3 Ce 0.890 0.890 0.890
4 As 0.500 0.500 0.500

DOS(E_F)   11.34 states/eV/f.u.
Magnetic moment   2.49 μB per cell
Offset from the most stable computed form   168 meV/atom
Space group   No. 166

---

(15)
Density functional theory data (PBE) for crystalline KTlSn2P at its relaxed geometry.

Cell: 5.660 5.660 6.074 Å, 90.00 90.00 90.00°
Positions (direct):
1 K 0.000 0.000 0.000
2 Tl 0.000 0.000 0.500
3 Sn 0.000 0.500 0.500
4 Sn 0.500 0.000 0.500
5 P 0.500 0.500 0.000

E   -12.7 eV/cell
DOS(E_F)   3.68 states/eV/f.u.
Magnetic moment   0.00 μB per cell
Space group   No. 123

---

(16)
Density functional theory data (PBE) for crystalline Y2HgRh at its relaxed geometry.

Cell: 5.772 5.772 5.772 Å, 136.30 136.30 63.51°
Positions (direct):
1 Y 0.000 0.000 0.000
2 Y 0.750 0.250 0.500
3 Hg 0.250 0.750 0.500
4 Rh 0.500 0.500 0.000

E   -22.2 eV/cell
DOS(E_F)   3.62 states/eV/f.u.
Magnetic moment   0.00 μB per cell
Space group   No. 119

---

(17)
Density functional theory data (PBE) for crystalline CoReTe2 at its relaxed geometry.

Cell: 3.289 3.289 6.602 Å, 90.00 90.00 90.00°
Positions (direct):
1 Co 0.000 0.000 0.000
2 Re 0.000 0.000 0.500
3 Te 0.500 0.500 0.246
4 Te 0.500 0.500 0.754

DOS(E_F)   4.63 states/eV/f.u.
Formation energy (no corrections)   2.51 eV per formula unit
Magnetic moment   1.08 μB per cell
Offset from the most stable computed form   515 meV/atom
Space group   No. 123

---

(18)
Density functional theory data (PBE) for crystalline Sc2CoRu2 at its relaxed geometry.

Cell: 7.208 7.208 3.144 Å, 90.00 90.00 90.00°
Positions (direct):
1 Sc 0.147 0.353 0.000
2 Sc 0.353 0.853 0.000
3 Sc 0.647 0.147 0.000
4 Sc 0.853 0.647 0.000
5 Co 0.000 0.000 0.000
6 Co 0.500 0.500 0.000
7 Ru 0.160 0.660 0.500
8 Ru 0.340 0.160 0.500
9 Ru 0.660 0.840 0.500
10 Ru 0.840 0.340 0.500

DOS(E_F)   6.28 states/eV/f.u.
Magnetic moment   0.00 μB per cell
Offset from the most stable computed form   421 meV/atom
Space group   No. 127

---

(19)
Density functional theory data (PBE) for crystalline In3AgI4 at its relaxed geometry.

Cell: 9.430 10.574 6.948 Å, 90.00 90.00 90.00°
Positions (direct):
1 In 0.000 0.088 0.000
2 In 0.185 0.352 0.502
3 In 0.315 0.648 0.002
4 In 0.500 0.912 0.500
5 In 0.685 0.648 0.002
6 In 0.815 0.352 0.502
7 Ag 0.000 0.789 0.578
8 Ag 0.500 0.211 0.078
9 I 0.000 0.054 0.497
10 I 0.000 0.758 0.999
11 I 0.236 0.335 0.993
12 I 0.264 0.665 0.493
13 I 0.500 0.242 0.499
14 I 0.500 0.946 0.997
15 I 0.736 0.665 0.493
16 I 0.764 0.335 0.993

DOS(E_F)   0.00 states/eV/f.u.
Formation energy (no corrections)   -2.98 eV per formula unit
Magnetic moment   0.00 μB per cell
Offset from the most stable computed form   0 meV/atom
Space group   No. 31

---

(20)
Density functional theory data (PBE) for crystalline CdCu2P2 at its relaxed geometry.

Cell: 5.577 5.577 5.577 Å, 137.18 137.18 62.16°
Positions (direct):
1 Cd 0.000 0.000 0.000
2 Cu 0.250 0.750 0.500
3 Cu 0.750 0.250 0.500
4 P 0.383 0.383 0.000
5 P 0.617 0.617 0.000

E   -19.7 eV/cell
DOS(E_F)   1.79 states/eV/f.u.
Magnetic moment   0.00 μB per cell
Space group   No. 139

---

(21)
Density functional theory data (PBE) for crystalline GaS3Br2 at its relaxed geometry.

Cell: 8.007 8.007 6.899 Å, 104.45 104.45 50.19°
Positions (direct):
1 Ga 0.000 0.500 0.000
2 Ga 0.500 0.000 0.500
3 S 0.226 0.774 0.250
4 S 0.321 0.481 0.095
5 S 0.481 0.321 0.595
6 S 0.519 0.679 0.405
7 S 0.679 0.519 0.905
8 S 0.774 0.226 0.750
9 Br 0.120 0.262 0.292
10 Br 0.262 0.120 0.792
11 Br 0.738 0.880 0.208
12 Br 0.880 0.738 0.708

DOS(E_F)   2.32 states/eV/f.u.
Formation energy (no corrections)   -1.50 eV per formula unit
Magnetic moment   0.00 μB per cell
Space group   No. 15

---

(22)
Density functional theory data (PBE) for crystalline Zr5Pb3 at its relaxed geometry.

Cell: 6.324 6.324 4.860 Å, 90.00 90.00 105.43°
Positions (direct):
1 Zr 0.000 0.000 0.000
2 Zr 0.000 0.500 0.000
3 Zr 0.278 0.278 0.500
4 Zr 0.500 0.000 0.000
5 Zr 0.722 0.722 0.500
6 Pb 0.217 0.783 0.500
7 Pb 0.500 0.500 0.000
8 Pb 0.783 0.217 0.500

DOS(E_F)   6.25 states/eV/f.u.
Magnetic moment   0.00 μB per cell
Offset from the most stable computed form   94 meV/atom
Space group   No. 65

---

(23)
Density functional theory data (PBE) for crystalline ZnCo2Te at its relaxed geometry.

Cell: 8.831 8.831 8.831 Å, 153.82 153.82 37.37°
Positions (direct):
1 Zn 0.000 0.000 0.000
2 Zn 0.750 0.250 0.500
3 Co 0.072 0.625 0.947
4 Co 0.375 0.322 0.447
5 Co 0.678 0.125 0.053
6 Co 0.875 0.928 0.553
7 Te 0.250 0.750 0.500
8 Te 0.500 0.500 0.000

DOS(E_F)   4.00 states/eV/f.u.
Formation energy (no corrections)   1.69 eV per formula unit
Magnetic moment   5.43 μB per cell
Offset from the most stable computed form   234 meV/atom
Space group   No. 122

---

(24)
Density functional theory data (PBE) for crystalline Np2SbPd6 at its relaxed geometry.

Cell: 5.750 5.750 6.050 Å, 90.00 90.00 120.00°
Positions (direct):
1 Np 0.333 0.667 0.175
2 Np 0.667 0.333 0.825
3 Sb 0.000 0.000 0.000
4 Pd 0.177 0.353 0.678
5 Pd 0.177 0.823 0.678
6 Pd 0.353 0.177 0.322
7 Pd 0.647 0.823 0.678
8 Pd 0.823 0.177 0.322
9 Pd 0.823 0.647 0.322

DOS(E_F)   24.75 states/eV/f.u.
Formation energy (no corrections)   -3.13 eV per formula unit
Magnetic moment   7.48 μB per cell
Space group   No. 164